{"formula": "PuB2H7", "functional": "PBE-GGA", "state": "relaxed", "lattice_angstrom": [[-0.112, 3.395, -0.197], [-5.309, -0.085, 1.552], [-0.031, 0.319, 5.522]], "species": ["H", "H", "H", "H", "H", "H", "H", "B", "B", "Pu"], "frac_coords": [[0.500, 0.679, 0.077], [0.500, 0.077, 0.679], [0.500, 0.321, 0.923], [0.000, 0.677, 0.323], [0.000, 0.323, 0.677], [0.500, 0.923, 0.321], [0.500, 0.500, 0.500], [0.500, 0.704, 0.296], [0.500, 0.296, 0.704], [0.000, 0.000, 0.000]], "m_tot_mub_per_cell": 5.8, "dft_energy_ev_per_atom": -4.9281}